#P
Material: PaCdPb
Method: DFT, GGA-PBE
State: optimized geometry

Computed properties:
M_tot, μB/cell: 1.046
Volume, A^3/atom: 32.1
Crystal system: cubic
Symmetry: F-43m

a = 5.145 Å, b = 5.145 Å, c = 5.145 Å
α = 60.00°, β = 60.00°, γ = 60.00°
Fractional coordinates of all 3 atoms:
Cd 0.250 0.250 0.250
Pa 0.000 0.000 0.000
Pb 0.750 0.750 0.750

***

#Q
Material: PaCdPb
Method: DFT, GGA-PBE
State: optimized geometry

Computed properties:
M_tot, μB/cell: 1.806
Volume, A^3/atom: 31.0
Crystal system: cubic
Symmetry: F-43m

a = 5.083 Å, b = 5.083 Å, c = 5.083 Å
α = 60.00°, β = 60.00°, γ = 60.00°
Each line ends with the local moment (μB).
Fractional coordinates of all 3 atoms:
Cd 0.250 0.250 0.250  0.02
Pa 0.750 0.750 0.750  1.42
Pb 0.000 0.000 0.000  0.03

***

Energetically preferred structure: #P | next structure: +71 meV/atom

***

#P
Material: PaCdPd
Method: DFT, GGA-PBE
State: optimized geometry

Computed properties:
M_tot, μB/cell: 1.018
Volume, A^3/atom: 24.4
Crystal system: cubic
Symmetry: F-43m

a = 4.698 Å, b = 4.698 Å, c = 4.698 Å
α = 60.00°, β = 60.00°, γ = 60.00°
Each line ends with the local moment (μB).
Fractional coordinates of all 3 atoms:
Cd 0.000 0.000 0.000  0.03
Pa 0.500 0.500 0.500  0.70
Pd 0.750 0.750 0.750  0.00

***

#Q
Material: PaCdPd
Method: DFT, GGA-PBE
State: optimized geometry

Computed properties:
M_tot, μB/cell: 0.576
Volume, A^3/atom: 26.5
Crystal system: cubic
Symmetry: F-43m

a = 4.827 Å, b = 4.827 Å, c = 4.827 Å
α = 60.00°, β = 60.00°, γ = 60.00°
Each line ends with the local moment (μB).
Fractional coordinates of all 3 atoms:
Cd 0.500 0.500 0.500  0.02
Pa 0.250 0.250 0.250  0.48
Pd 0.000 0.000 0.000  -0.02

***

Energetically preferred structure: #P | next structure: +568 meV/atom

***

#P
Material: PaCdRe
Method: DFT, GGA-PBE
State: optimized geometry

Computed properties:
M_tot, μB/cell: 0.005
Volume, A^3/atom: 23.6
Crystal system: cubic
Symmetry: F-43m

a = 4.644 Å, b = 4.644 Å, c = 4.644 Å
α = 60.00°, β = 60.00°, γ = 60.00°
Fractional coordinates of all 3 atoms:
Cd 0.750 0.750 0.750
Pa 0.250 0.250 0.250
Re 0.000 0.000 0.000

***

#Q
Material: PaCdRe
Method: DFT, GGA-PBE
State: optimized geometry

Computed properties:
M_tot, μB/cell: 0.004
Volume, A^3/atom: 24.7
Crystal system: cubic
Symmetry: F-43m

a = 4.718 Å, b = 4.718 Å, c = 4.718 Å
α = 60.00°, β = 60.00°, γ = 60.00°
Fractional coordinates of all 3 atoms:
Cd 0.250 0.250 0.250
Pa 0.000 0.000 0.000
Re 0.750 0.750 0.750

***

Energetically preferred structure: #P | next structure: +613 meV/atom

***

#P
Material: ScPaCd
Method: DFT, GGA-PBE
State: optimized geometry

Computed properties:
M_tot, μB/cell: 2.223
Volume, A^3/atom: 26.9
Crystal system: cubic
Symmetry: F-43m

a = 4.849 Å, b = 4.849 Å, c = 4.849 Å
α = 60.00°, β = 60.00°, γ = 60.00°
Fractional coordinates of all 3 atoms:
Cd 0.250 0.250 0.250
Pa 0.750 0.750 0.750
Sc 0.000 0.000 0.000

***

#Q
Material: ScPaCd
Method: DFT, GGA-PBE
State: optimized geometry

Computed properties:
M_tot, μB/cell: 2.043
Volume, A^3/atom: 29.4
Crystal system: cubic
Symmetry: F-43m

a = 4.996 Å, b = 4.996 Å, c = 4.996 Å
α = 60.00°, β = 60.00°, γ = 60.00°
Fractional coordinates of all 3 atoms:
Cd 0.250 0.250 0.250
Pa 0.000 0.000 0.000
Sc 0.750 0.750 0.750

***

Energetically preferred structure: #P | next structure: +196 meV/atom

***

#P
Material: PaCdSi
Method: DFT, GGA-PBE
State: optimized geometry

Computed properties:
M_tot, μB/cell: 0.965
Volume, A^3/atom: 23.8
Crystal system: cubic
Symmetry: F-43m

a = 4.659 Å, b = 4.659 Å, c = 4.659 Å
α = 60.00°, β = 60.00°, γ = 60.00°
Fractional coordinates of all 3 atoms:
Cd 0.250 0.250 0.250
Pa 0.750 0.750 0.750
Si 0.000 0.000 0.000

***

#Q
Material: PaCdSi
Method: DFT, GGA-PBE
State: optimized geometry

Computed properties:
M_tot, μB/cell: 0.678
Volume, A^3/atom: 26.6
Crystal system: cubic
Symmetry: F-43m

a = 4.834 Å, b = 4.834 Å, c = 4.834 Å
α = 60.00°, β = 60.00°, γ = 60.00°
Fractional coordinates of all 3 atoms:
Cd 0.250 0.250 0.250
Pa 0.000 0.000 0.000
Si 0.750 0.750 0.750

***

Energetically preferred structure: #P | next structure: +306 meV/atom

***

#P
Material: PaCdTe
Method: DFT, GGA-PBE
State: optimized geometry

Computed properties:
M_tot, μB/cell: 1.870
Volume, A^3/atom: 31.3
Crystal system: cubic
Symmetry: F-43m

a = 5.103 Å, b = 5.103 Å, c = 5.103 Å
α = 60.00°, β = 60.00°, γ = 60.00°
Fractional coordinates of all 3 atoms:
Cd 0.250 0.250 0.250
Pa 0.000 0.000 0.000
Te 0.750 0.750 0.750

***

#Q
Material: PaCdTe
Method: DFT, GGA-PBE
State: optimized geometry

Computed properties:
M_tot, μB/cell: 1.146
Volume, A^3/atom: 30.2
Crystal system: cubic
Symmetry: F-43m

a = 5.040 Å, b = 5.040 Å, c = 5.040 Å
α = 60.00°, β = 60.00°, γ = 60.00°
Each line ends with the local moment (μB).
Fractional coordinates of all 3 atoms:
Cd 0.000 0.000 0.000  0.00
Pa 0.500 0.500 0.500  0.94
Te 0.750 0.750 0.750  -0.03

***

Energetically preferred structure: #P | next structure: +112 meV/atom

***

#P
Material: ZnCdTe3Pb
Method: DFT, GGA-PBE
State: optimized geometry

Computed properties:
Volume, A^3/atom: 30.4
Crystal system: orthorhombic
Symmetry: Cmcm

a = 7.545 Å, b = 7.545 Å, c = 11.896 Å
α = 90.00°, β = 90.00°, γ = 32.59°
Fractional coordinates of all 12 atoms:
Cd 0.482 0.482 0.250
Cd 0.518 0.518 0.750
Pb 0.778 0.778 0.250
Pb 0.222 0.222 0.750
Te 0.372 0.372 0.055
Te 0.112 0.112 0.250
Te 0.372 0.372 0.445
Te 0.628 0.628 0.555
Te 0.888 0.888 0.750
Te 0.628 0.628 0.945
Zn 0.000 0.000 0.000
Zn 0.000 0.000 0.500

***

#Q
Material: ZnCdTe3Pb
Method: DFT, GGA-PBE
State: optimized geometry

Computed properties:
Volume, A^3/atom: 29.5
Crystal system: orthorhombic
Symmetry: Cmcm

a = 4.285 Å, b = 7.584 Å, c = 11.339 Å
α = 90.00°, β = 90.00°, γ = 73.59°
Fractional coordinates of all 12 atoms:
Cd 0.000 0.000 0.000
Cd 0.000 0.000 0.500
Pb 0.236 0.528 0.250
Pb 0.764 0.472 0.750
Te 0.641 0.718 0.064
Te 0.915 0.170 0.250
Te 0.641 0.718 0.436
Te 0.359 0.282 0.564
Te 0.085 0.830 0.750
Te 0.359 0.282 0.936
Zn 0.529 0.942 0.250
Zn 0.471 0.058 0.750

***

Energetically preferred structure: #Q | next structure: +91 meV/atom

***

#P
Material: CdPd9
Method: DFT, GGA-PBE
State: optimized geometry

Computed properties:
Volume, A^3/atom: 20.6
Crystal system: tetragonal
Symmetry: P4/nmm

a = 2.853 Å, b = 2.853 Å, c = 50.545 Å
α = 90.00°, β = 90.00°, γ = 90.00°
Fractional coordinates of all 20 atoms:
Cd 0.000 0.500 0.140
Cd 0.500 0.000 0.860
Pd 0.500 0.000 0.179
Pd 0.000 0.500 0.218
Pd 0.500 0.000 0.257
Pd 0.000 0.500 0.294
Pd 0.500 0.000 0.332
Pd 0.000 0.500 0.369
Pd 0.500 0.000 0.407
Pd 0.000 0.500 0.444
Pd 0.500 0.000 0.481
Pd 0.000 0.500 0.519
Pd 0.500 0.000 0.556
Pd 0.000 0.500 0.593
Pd 0.500 0.000 0.631
Pd 0.000 0.500 0.668
Pd 0.500 0.000 0.706
Pd 0.000 0.500 0.743
Pd 0.500 0.000 0.782
Pd 0.000 0.500 0.821

***

#Q
Material: CdPd9
Method: DFT, GGA-PBE
State: optimized geometry

Computed properties:
Volume, A^3/atom: 22.9
Crystal system: orthorhombic
Symmetry: Pmmn

a = 2.845 Å, b = 3.872 Å, c = 41.603 Å
α = 90.00°, β = 90.00°, γ = 90.00°
Fractional coordinates of all 20 atoms:
Cd 0.000 0.000 0.178
Cd 0.500 0.500 0.822
Pd 0.500 0.500 0.212
Pd 0.000 0.000 0.247
Pd 0.500 0.500 0.281
Pd 0.000 0.000 0.315
Pd 0.500 0.500 0.349
Pd 0.000 0.000 0.383
Pd 0.500 0.500 0.416
Pd 0.000 0.000 0.450
Pd 0.500 0.500 0.483
Pd 0.000 0.000 0.517
Pd 0.500 0.500 0.550
Pd 0.000 0.000 0.584
Pd 0.500 0.500 0.617
Pd 0.000 0.000 0.651
Pd 0.500 0.500 0.685
Pd 0.000 0.000 0.719
Pd 0.500 0.500 0.753
Pd 0.000 0.000 0.788

***

Energetically preferred structure: #Q | next structure: +10 meV/atom